Below is crystalline La3Ho5Te12 at its relaxed geometry, with properties calculated at the PBE level.

POSCAR file:
```
La3Ho5Te12
1.0
15.893 0.000 0.000
-5.298 14.984 0.000
-5.298 -7.492 12.977
Te Ho La
48 20 12
Cartesian
10.518 1.582 0.587
0.077 5.045 5.412
11.719 3.471 3.639
6.823 2.330 1.663
2.015 5.730 8.751
11.162 7.428 2.263
-1.123 8.633 5.302
-4.174 12.654 1.663
0.634 9.254 8.751
7.380 7.556 2.263
8.024 4.029 4.825
8.024 13.403 0.587
-4.664 6.698 7.075
3.216 5.564 1.187
-5.375 10.956 4.825
2.726 -2.447 7.565
-0.634 0.968 2.850
3.216 9.484 1.076
6.823 11.513 3.639
-0.567 5.501 1.076
-3.283 8.460 10.127
3.772 6.352 5.302
7.313 8.286 7.075
5.865 -1.928 11.790
1.525 1.141 7.675
-2.015 -0.794 5.901
-0.567 9.420 1.187
-1.525 -4.021 9.338
8.581 -0.968 2.850
5.865 1.991 11.900
2.082 -1.991 11.900
2.572 9.939 5.412
5.932 6.525 10.127
10.673 -3.464 8.152
9.961 0.794 5.901
-2.726 -5.910 12.390
2.082 1.928 11.790
4.664 -1.762 4.226
-2.082 -0.064 10.714
-2.726 3.464 8.152
9.472 -5.162 11.314
6.421 -1.141 7.675
-1.525 5.162 11.314
-5.865 0.064 10.714
3.283 1.762 4.226
-6.421 4.021 9.338
5.220 2.447 7.565
-5.220 5.911 12.390
-1.324 3.746 3.244
-2.649 7.492 0.000
0.000 0.000 0.000
3.973 2.810 1.622
5.298 -3.746 6.488
5.298 7.492 0.000
-3.973 8.429 4.866
6.622 -4.683 11.355
6.622 6.556 4.866
1.324 -3.746 9.733
3.973 11.238 3.244
2.649 3.746 6.488
7.947 0.000 0.000
-2.649 -3.746 6.488
-1.324 0.937 8.110
-1.324 12.175 1.622
-5.298 3.746 6.488
9.271 -0.937 8.110
1.324 4.683 11.355
6.622 3.746 9.733
9.271 4.683 1.622
9.271 10.302 1.622
-1.324 6.556 8.110
1.324 -0.937 4.866
11.920 0.000 3.244
1.324 7.492 3.244
3.973 0.000 9.733
-6.622 7.492 9.733
3.973 8.429 8.110
6.622 0.937 4.866
-3.973 -2.810 11.355
-3.973 2.810 11.355
```

For the total magnetization, the calculation gives 0.00 μB/f.u. Its total energy is -0.1862 Ha/atom. The value obtained for the formation energy from raw total energies is -1.298 eV/atom.

Below is crystalline La3HoTe6 at its relaxed geometry, with properties calculated at the PBE level.

POSCAR file:
```
La3HoTe6
1.0
-5.766 2.812 3.950
-3.006 -7.800 1.166
6.423 -1.075 9.360
La Ho Te
6 2 12
Cartesian
-1.054 -6.151 10.160
-4.386 -2.494 2.558
-1.295 0.088 4.316
-0.575 -4.924 3.192
3.212 -0.538 4.680
-1.774 -1.139 11.284
-1.174 -3.032 7.238
0.000 0.000 0.000
1.532 -0.465 11.449
-0.643 -0.194 8.187
-3.490 -1.902 5.560
1.141 -4.161 8.916
-1.705 -5.869 6.289
-3.880 -5.598 3.027
0.744 -2.523 4.972
-1.378 -2.116 1.690
3.787 -0.780 7.807
-6.135 -5.284 6.669
-0.970 -3.947 12.786
-3.093 -3.540 9.504
```

For the total magnetization, the calculation gives 0.00 μB/f.u. Its total energy is -0.1955 Ha/atom. As for the excess energy over the best structure of this formula in the dataset: 0.000 eV/atom. The value obtained for the formation energy from raw total energies is -1.500 eV/atom.

Below is crystalline LaHoTe3 at its relaxed geometry, with properties calculated at the PBE level.

POSCAR file:
```
LaHoTe3
1.0
4.483 0.000 0.000
0.000 8.333 0.000
0.000 0.000 17.392
La Ho Te
4 4 12
Cartesian
3.363 7.193 13.920
1.121 1.140 3.472
3.363 3.026 12.168
1.121 5.307 5.224
1.121 2.259 16.656
1.121 6.426 9.432
3.363 1.907 7.960
3.363 6.074 0.736
1.121 3.158 9.757
3.363 7.041 3.736
3.363 4.107 15.570
3.363 8.274 10.518
3.363 5.176 7.635
1.121 0.059 6.874
1.121 7.325 16.331
3.363 2.875 4.960
1.121 5.459 12.432
1.121 1.292 13.656
3.363 1.009 1.061
1.121 4.226 1.822
```

For the total magnetization, the calculation gives 0.00 μB/f.u. Its total energy is -0.1939 Ha/atom. As for the excess energy over the best structure of this formula in the dataset: 0.006 eV/atom. The value obtained for the formation energy from raw total energies is -1.490 eV/atom.